Record 1
This record from the Alexandria database describes crystalline Tl2In at its relaxed geometry. The functional is PBE-GGA.

Calculated total energy, eV per cell: -14.8
N(E_F), states/eV per cell: 2.257
Magnetization, μB per cell: 0.00
Mass density, Mg/m³: 9.75
Symmetry: No. 12
Crystal system: monoclinic

Lattice parameters (Å, degrees): 6.639 6.639 8.255 75.38 75.38 30.53
Positions (direct):
1 Tl 0.954 0.954 0.607
2 Tl 0.275 0.275 0.943
3 Tl 0.324 0.324 0.338
4 Tl 0.002 0.002 0.001
5 In 0.673 0.673 0.663
6 In 0.605 0.605 0.281

Record 2
This record from the Alexandria database describes crystalline Tl5In at its relaxed geometry. The functional is PBE-GGA.

Calculated total energy, eV per cell: -14.5
N(E_F), states/eV per cell: 2.096
Magnetization, μB per cell: 0.00
Mass density, Mg/m³: 10.42
Symmetry: No. 187
Energy above the most stable polymorph in this dataset, kJ/mol of formula units: 0.0
Crystal system: hexagonal

Lattice parameters (Å, degrees): 3.504 3.504 17.032 90.00 90.00 120.00
Positions (direct):
1 Tl 0.667 0.333 0.162
2 Tl 0.667 0.333 0.500
3 Tl 0.000 0.000 0.667
4 Tl 0.667 0.333 0.838
5 Tl 0.000 0.000 0.333
6 In 0.000 0.000 0.000